# Na2HgSb2Pd2

An optimized crystal structure of Na2HgSb2Pd2 (PBE, the Alexandria database).

Output
* ΔE_f (raw): -0.76 eV per formula unit
* total energy: -3.1899 eV/atom
* space-group type: I4/mmm (139)

Cell: 5.0898 5.0898 8.4068 Å, 107.62 107.62 90.00°
With the nearest neighbours (Å) after each atom.
Positions (direct):
Hg 0.0000 0.0000 0.0000  4 Pd 2.54
Pd 0.0000 0.5000 0.0000  2 Hg 2.54
Pd 0.5000 0.0000 0.0000  2 Hg 2.54
Sb 0.4010 0.4010 0.8019  4 Pd 2.96, 1 Sb 3.01, 1 Na 3.21
Sb 0.5990 0.5990 0.1981  4 Pd 2.96, 1 Sb 3.01, 1 Na 3.21
Na 0.1899 0.1899 0.3799  1 Hg 2.89, 1 Sb 3.21
Na 0.8101 0.8101 0.6201  1 Hg 2.89, 1 Sb 3.21

***

# NiRh2

An optimized crystal structure of NiRh2 (PBE, the Alexandria database).

Output
* excess energy over the best structure of this formula in the dataset: 184 meV/atom
* ΔH_f (0 K): 0.22 eV per atom
* total energy: -6.6044 eV/atom
* space-group type: Cmme (67)

Cell: 2.6444 2.6444 13.3709 Å, 90.00 90.00 119.15°
With the nearest neighbours (Å) after each atom.
Positions (direct):
Ni 0.7500 0.2500 0.9246  8 Ni 2.42-2.68, 2 Rh 2.55
Ni 0.2500 0.7500 0.0754  8 Ni 2.42-2.68, 2 Rh 2.55
Rh 0.2500 0.7500 0.4128  10 Rh 2.64-2.69
Rh 0.7500 0.2500 0.5872  10 Rh 2.64-2.69
Rh 0.7500 0.2500 0.2381  2 Ni 2.55, 8 Rh 2.64-2.69
Rh 0.2500 0.7500 0.7619  2 Ni 2.55, 8 Rh 2.64-2.69

***

# Ca2ReCl

An optimized crystal structure of Ca2ReCl (PBE, the Alexandria database).

Output
* ΔE_f (raw): 0.63 eV per formula unit
* excess energy over the best structure of this formula in the dataset: 398 meV/atom
* total energy: -4.4175 eV/atom
* space-group type: P4/mmm (123)

Cell: 4.1602 4.1602 5.8830 Å, 90.00 90.00 90.00°
With the nearest neighbours (Å) after each atom.
Positions (direct):
Re 0.5000 0.5000 0.8752  6 Ca 2.94
Cl 0.0000 0.0000 0.3749  6 Ca 2.94
Ca 0.0000 0.0000 0.8747  2 Cl 2.94, 4 Re 2.94
Ca 0.5000 0.5000 0.3752  2 Re 2.94, 4 Cl 2.94

***

# TlAs2Ir

An optimized crystal structure of TlAs2Ir (PBE, the Alexandria database).

Output
* excess energy over the best structure of this formula in the dataset: 139 meV/atom
* ΔH_f (0 K): 0.06 eV per atom
* total energy: -5.0672 eV/atom
* space-group type: Pmmm (47)

Cell: 3.0095 3.2099 8.9340 Å, 90.00 90.00 90.00°
With the nearest neighbours (Å) after each atom.
Positions (direct):
As 0.0000 0.0000 0.4201  4 Ir 2.67
As 0.0000 0.0000 0.0799  4 Ir 2.67
Tl 0.5000 0.5000 0.7500  4 Tl 3.01-3.21
Ir 0.5000 0.5000 0.2500  8 As 2.67

***

# Ac2DyInPd6

An optimized crystal structure of Ac2DyInPd6 (PBE, the Alexandria database).

Output
* ΔH_f (0 K): -0.24 eV per atom
* total energy: -4.9122 eV/atom
* space-group type: Fm-3m (225)

Cell: 7.1782 7.1782 7.1782 Å, 60.00 60.00 90.00°
With the nearest neighbours (Å) after each atom.
Positions (direct):
In 0.0000 0.0000 0.0000  6 Pd 2.53
Pd 0.2493 0.2493 0.0000  1 In 2.53, 1 Dy 2.55
Pd 0.2493 0.2493 0.5014  1 In 2.53, 1 Dy 2.55
Pd 0.2493 0.7507 0.0000  1 In 2.53, 1 Dy 2.55
Pd 0.7507 0.7507 0.0000  1 In 2.53, 1 Dy 2.55
Pd 0.7507 0.7507 0.4986  1 In 2.53, 1 Dy 2.55
Pd 0.7507 0.2493 0.0000  1 In 2.53, 1 Dy 2.55
Ac 0.2500 0.7500 0.5000  12 Pd 3.59
Ac 0.7500 0.2500 0.5000  12 Pd 3.59
Dy 0.5000 0.5000 0.0000  6 Pd 2.55

***

# CaTaBe2Te

An optimized crystal structure of CaTaBe2Te (PBE, the Alexandria database).

Output
* ΔE_f (raw): 6.15 eV per formula unit
* total energy: -3.6597 eV/atom
* space-group type: P4/mmm (123)

Cell: 4.7837 5.1946 4.7837 Å, 90.00 90.00 90.00°
With the nearest neighbours (Å) after each atom.
Positions (direct):
Ta 0.0000 0.5000 0.0000  2 Te 2.60
Te 0.0000 0.0000 0.0000  4 Be 2.39, 2 Ta 2.60
Ca 0.5000 0.5000 0.5000  4 Ta 3.38, 8 Be 3.53
Be 0.5000 0.0000 0.0000  2 Te 2.39
Be 0.0000 0.0000 0.5000  2 Te 2.39

***

# AcTb2Tm5

An optimized crystal structure of AcTb2Tm5 (PBE, the Alexandria database).

Output
* ΔH_f (0 K): 0.04 eV per atom
* total energy: -4.4228 eV/atom
* space-group type: Pbam (55)

Cell: 7.1580 7.1372 20.0147 Å, 90.00 90.00 90.00°
With the nearest neighbours (Å) after each atom.
Positions (direct):
Tm 0.0000 0.2514 0.1256  2 Ac 3.57, 8 Tm 3.57-3.59, 2 Tb 3.58
Tm 0.2565 0.9984 0.7500  8 Tm 3.49-3.67, 2 Tb 3.52-3.53, 2 Ac 3.57
Tm 0.2558 0.5000 0.5000  6 Tm 3.50-3.66, 4 Tb 3.54-3.57, 2 Ac 3.59
Tm 0.5000 0.7492 0.8746  8 Tm 3.52-3.58, 4 Tb 3.54-3.58
Tm 0.0000 0.2486 0.6256  2 Ac 3.57, 8 Tm 3.57-3.59, 2 Tb 3.58
Tm 0.2558 0.0000 0.0000  6 Tm 3.50-3.66, 4 Tb 3.54-3.57, 2 Ac 3.59
Tm 0.7435 0.4984 0.7500  8 Tm 3.49-3.67, 2 Tb 3.52-3.53, 2 Ac 3.57
Tm 0.0000 0.7486 0.8744  2 Ac 3.57, 8 Tm 3.57-3.59, 2 Tb 3.58
Tm 0.7435 0.0016 0.2500  8 Tm 3.49-3.67, 2 Tb 3.52-3.53, 2 Ac 3.57
Tm 0.5000 0.2508 0.1254  8 Tm 3.52-3.58, 4 Tb 3.54-3.58
Tm 0.2565 0.4984 0.7500  8 Tm 3.49-3.67, 2 Tb 3.52-3.53, 2 Ac 3.57
Tm 0.2565 0.0016 0.2500  8 Tm 3.49-3.67, 2 Tb 3.52-3.53, 2 Ac 3.57
Tm 0.0000 0.7514 0.3744  2 Ac 3.57, 8 Tm 3.57-3.59, 2 Tb 3.58
Tm 0.5000 0.7508 0.3746  8 Tm 3.52-3.58, 4 Tb 3.54-3.58
Tm 0.7435 0.9984 0.7500  8 Tm 3.49-3.67, 2 Tb 3.52-3.53, 2 Ac 3.57
Tm 0.5000 0.2492 0.6254  8 Tm 3.52-3.58, 4 Tb 3.54-3.58
Tm 0.7442 0.5000 0.5000  6 Tm 3.50-3.66, 4 Tb 3.54-3.57, 2 Ac 3.59
Tm 0.2565 0.5016 0.2500  8 Tm 3.49-3.67, 2 Tb 3.52-3.53, 2 Ac 3.57
Tm 0.7442 0.0000 0.0000  6 Tm 3.50-3.66, 4 Tb 3.54-3.57, 2 Ac 3.59
Tm 0.7435 0.5016 0.2500  8 Tm 3.49-3.67, 2 Tb 3.52-3.53, 2 Ac 3.57
Tb 0.2553 0.0000 0.5000  4 Tb 3.50-3.66, 6 Tm 3.54-3.58, 2 Ac 3.59
Tb 0.7447 0.5000 0.0000  4 Tb 3.50-3.66, 6 Tm 3.54-3.58, 2 Ac 3.59
Tb 0.5000 0.7519 0.1256  8 Tm 3.52-3.58, 2 Tb 3.55, 2 Ac 3.58
Tb 0.5000 0.7481 0.6256  8 Tm 3.52-3.58, 2 Tb 3.55, 2 Ac 3.58
Tb 0.5000 0.2519 0.3744  8 Tm 3.52-3.58, 2 Tb 3.55, 2 Ac 3.58
Tb 0.2553 0.5000 0.0000  4 Tb 3.50-3.66, 6 Tm 3.54-3.58, 2 Ac 3.59
Tb 0.5000 0.2481 0.8744  8 Tm 3.52-3.58, 2 Tb 3.55, 2 Ac 3.58
Tb 0.7447 0.0000 0.5000  4 Tb 3.50-3.66, 6 Tm 3.54-3.58, 2 Ac 3.59
Ac 0.0000 0.2514 0.3740  8 Tm 3.57-3.59, 4 Tb 3.58-3.59
Ac 0.0000 0.2486 0.8740  8 Tm 3.57-3.59, 4 Tb 3.58-3.59
Ac 0.0000 0.7486 0.6260  8 Tm 3.57-3.59, 4 Tb 3.58-3.59
Ac 0.0000 0.7514 0.1260  8 Tm 3.57-3.59, 4 Tb 3.58-3.59

***

# KYIn

An optimized crystal structure of KYIn (PBE, the Alexandria database).

Output
* excess energy over the best structure of this formula in the dataset: 96 meV/atom
* ΔH_f (0 K): 0.10 eV per atom
* total energy: -3.3341 eV/atom
* space-group type: P3m1 (156)

Cell: 3.7332 3.7332 8.9694 Å, 90.00 90.00 120.00°
With the nearest neighbours (Å) after each atom.
Positions (direct):
Y 0.3333 0.6667 0.7127  3 In 3.22
In 0.0000 0.0000 0.9797  3 Y 3.22
K 0.6667 0.3333 0.3076  3 In 3.65, 6 K 3.73

***

# EuDyCdRh

An optimized crystal structure of EuDyCdRh (PBE, the Alexandria database).

Output
* ΔH_f (0 K): -0.38 eV per atom
* total energy: -6.1702 eV/atom
* space-group type: F-43m (216)

Cell: 5.1332 5.1332 5.1332 Å, 60.00 60.00 60.00°
With the nearest neighbours (Å) after each atom.
Positions (direct):
Dy 0.0000 0.0000 0.0000  4 Rh 3.14, 4 Cd 3.14
Rh 0.2500 0.2500 0.2500  4 Dy 3.14, 4 Eu 3.14
Eu 0.5000 0.5000 0.5000  4 Cd 3.14, 4 Rh 3.14
Cd 0.7500 0.7500 0.7500  4 Dy 3.14, 4 Eu 3.14

***

# Sc4CdRh5

An optimized crystal structure of Sc4CdRh5 (PBE, the Alexandria database).

Output
* ΔH_f (0 K): -0.88 eV per atom
* total energy: -7.1761 eV/atom
* space-group type: P4/mmm (123)

Cell: 3.2321 3.2321 16.0742 Å, 90.00 90.00 90.00°
With the nearest neighbours (Å) after each atom.
Positions (direct):
Sc 0.0000 0.0000 0.8029  8 Rh 2.71-2.84
Sc 0.0000 0.0000 0.3991  8 Rh 2.77-2.80
Sc 0.0000 0.0000 0.6009  8 Rh 2.77-2.80
Sc 0.0000 0.0000 0.1971  8 Rh 2.71-2.84
Rh 0.5000 0.5000 0.1065  4 Sc 2.71, 4 Cd 2.86
Rh 0.5000 0.5000 0.8935  4 Sc 2.71, 4 Cd 2.86
Rh 0.5000 0.5000 0.6985  8 Sc 2.77-2.84
Rh 0.5000 0.5000 0.3015  8 Sc 2.77-2.84
Rh 0.5000 0.5000 0.5000  8 Sc 2.80
Cd 0.0000 0.0000 0.0000  8 Rh 2.86, 2 Sc 3.17

***

# Ba6As2PbBr3

An optimized crystal structure of Ba6As2PbBr3 (PBE, the Alexandria database).

Output
* ΔE_f (raw): -16.90 eV per formula unit
* total energy: -3.8720 eV/atom
* space-group type: C2/m (12)

Cell: 4.7319 10.0507 11.0811 Å, 102.76 102.33 90.00°
With the nearest neighbours (Å) after each atom.
Positions (direct):
Ba 0.0130 0.2600 0.0260  1 As 3.27, 2 Br 3.44, 2 Pb 3.49
Ba 0.6659 0.1129 0.3317  2 As 3.29, 1 Br 3.47, 1 Pb 3.51
Ba 0.3231 0.4305 0.6463  3 As 3.27-3.28, 2 Br 3.58
Ba 0.3341 0.8871 0.6683  2 As 3.29, 1 Br 3.47, 1 Pb 3.51
Ba 0.9870 0.7400 0.9740  1 As 3.27, 2 Br 3.44, 2 Pb 3.49
Ba 0.6769 0.5695 0.3537  3 As 3.27-3.28, 2 Br 3.58
As 0.1679 0.3409 0.3359  6 Ba 3.27-3.29
As 0.8321 0.6591 0.6641  6 Ba 3.27-3.29
Br 0.1699 0.8326 0.3398  6 Ba 3.47-3.86
Br 0.5000 0.5000 0.0000  6 Ba 3.44-3.73
Br 0.8301 0.1674 0.6602  6 Ba 3.47-3.86
Pb 0.5000 0.0000 0.0000  6 Ba 3.49-3.51

***

# LaAuO2F

An optimized crystal structure of LaAuO2F (PBE, the Alexandria database).

Output
* ΔE_f (raw): -7.29 eV per formula unit
* total energy: -5.4569 eV/atom
* space-group type: P4/mmm (123)

Cell: 4.5685 4.5685 4.6427 Å, 90.00 90.00 90.00°
With the nearest neighbours (Å) after each atom.
Positions (direct):
Au 0.5000 0.5000 0.5000  4 F 3.23, 8 O 3.26
F 0.0000 0.0000 0.5000  2 La 2.32
O 0.5000 0.0000 0.0000  2 La 2.28
O 0.0000 0.5000 0.0000  2 La 2.28
La 0.0000 0.0000 0.0000  4 O 2.28, 2 F 2.32